First-principles (PBE) data for a geometry-optimized Ca4CdAg2 structure, as listed in Alexandria via LeMat-Bulk.

E_form (meV per atom): -250
Symmetry: No. 63
DOS at the Fermi energy (states/eV/cell): 11.7

a b c (Å): 5.3881 5.3881 16.1565
angles (deg): 90.00 90.00 120.02
Fractional coordinates of all 14 atoms:
Ca  0.0000  0.0000  0.0000
Ca  0.0000  0.0000  0.5000
Ca  0.3329  0.6671  0.6317
Ca  0.3329  0.6671  0.8683
Ca  0.3339  0.6661  0.2500
Ca  0.6661  0.3339  0.7500
Ca  0.6671  0.3329  0.1317
Ca  0.6671  0.3329  0.3683
Cd  0.0007  0.9993  0.2500
Cd  0.9993  0.0007  0.7500
Ag  0.3336  0.6664  0.0573
Ag  0.3336  0.6664  0.4427
Ag  0.6664  0.3336  0.5573
Ag  0.6664  0.3336  0.9427